The following is a GGA-PBE calculation of crystalline NaHoCdS3 at its relaxed geometry, from the Open Quantum Materials Database.

Its relative energy among the computed polymorphs is 0.00 kcal/mol of atoms. As for the space group: Pnma.

Cell lengths 14.1483, 4.0102, 11.1112 Å; angles 90.00, 90.00, 90.00 degrees
Sites, in units of the cell vectors:
Cd: 0.4576 0.2500 0.6009
Cd: 0.5424 0.7500 0.3991
Cd: 0.0424 0.7500 0.1009
Cd: 0.9576 0.2500 0.8991
Na: 0.7841 0.2500 0.3051
Na: 0.7159 0.7500 0.8051
Na: 0.2159 0.7500 0.6949
Na: 0.2841 0.2500 0.1949
S: 0.4297 0.2500 0.3698
S: 0.1545 0.7500 0.2754
S: 0.0703 0.7500 0.8698
S: 0.0888 0.2500 0.5849
S: 0.5888 0.2500 0.9151
S: 0.4112 0.7500 0.0849
S: 0.8455 0.2500 0.7246
S: 0.5703 0.7500 0.6302
S: 0.9297 0.2500 0.1302
S: 0.6545 0.7500 0.2246
S: 0.3455 0.2500 0.7754
S: 0.9112 0.7500 0.4151
Ho: 0.4649 0.7500 0.8560
Ho: 0.5351 0.2500 0.1440
Ho: 0.0351 0.2500 0.3560
Ho: 0.9649 0.7500 0.6440


The following is a GGA-PBE calculation of crystalline NaHoCdS3 at its relaxed geometry, from the Open Quantum Materials Database.

Its relative energy among the computed polymorphs is 0.24 kcal/mol of atoms. As for the space group: P2_1/m.

Cell lengths 7.8365, 4.0344, 10.3481 Å; angles 90.00, 106.46, 90.00 degrees
Sites, in units of the cell vectors:
S: 0.2455 0.7500 0.5724
S: 0.4383 0.7500 0.1323
S: 0.9191 0.7500 0.1402
S: 0.5618 0.2500 0.8677
S: 0.0809 0.2500 0.8598
S: 0.7545 0.2500 0.4276
Ho: 0.6732 0.2500 0.1401
Ho: 0.3268 0.7500 0.8599
Cd: 0.0656 0.2500 0.6140
Cd: 0.9344 0.7500 0.3860
Na: 0.8099 0.7500 0.8416
Na: 0.1901 0.2500 0.1584


The following is a GGA-PBE calculation of crystalline NaHoCdSe3 at its relaxed geometry, from the Open Quantum Materials Database.

Its relative energy among the computed polymorphs is 0.39 kcal/mol of atoms. As for the space group: Pnma.

Cell lengths 11.0904, 4.1528, 13.7438 Å; angles 90.00, 90.00, 90.00 degrees
Sites, in units of the cell vectors:
Cd: 0.2632 0.2500 0.7817
Cd: 0.7632 0.2500 0.7183
Cd: 0.2368 0.7500 0.2817
Cd: 0.7368 0.7500 0.2183
Se: 0.9257 0.7500 0.1065
Se: 0.9631 0.2500 0.6179
Se: 0.2353 0.2500 0.1604
Se: 0.4257 0.7500 0.3935
Se: 0.0369 0.7500 0.3821
Se: 0.0743 0.2500 0.8935
Se: 0.7647 0.7500 0.8396
Se: 0.7353 0.2500 0.3396
Se: 0.4631 0.2500 0.8821
Se: 0.2647 0.7500 0.6604
Se: 0.5743 0.2500 0.6065
Se: 0.5369 0.7500 0.1179
Na: 0.7831 0.7500 0.5049
Na: 0.7169 0.2500 0.0049
Na: 0.2169 0.2500 0.4951
Na: 0.2831 0.7500 0.9951
Ho: 0.4863 0.2500 0.2585
Ho: 0.5137 0.7500 0.7415
Ho: 0.9863 0.2500 0.2415
Ho: 0.0137 0.7500 0.7585


The following is a GGA-PBE calculation of crystalline NaHoCdSe3 at its relaxed geometry, from the Open Quantum Materials Database.

Its relative energy among the computed polymorphs is 0.17 kcal/mol of atoms. As for the space group: Pnma.

Cell lengths 13.8937, 4.1638, 11.2773 Å; angles 90.00, 90.00, 90.00 degrees
Sites, in units of the cell vectors:
Na: 0.2566 0.2500 0.0899
Na: 0.7434 0.7500 0.9101
Na: 0.7566 0.2500 0.4101
Na: 0.2434 0.7500 0.5899
Cd: 0.9855 0.7500 0.4002
Cd: 0.4855 0.7500 0.0998
Cd: 0.5145 0.2500 0.9002
Cd: 0.0145 0.2500 0.5998
Se: 0.8511 0.7500 0.2377
Se: 0.6039 0.7500 0.4252
Se: 0.3961 0.2500 0.5748
Se: 0.6055 0.2500 0.1225
Se: 0.8945 0.7500 0.6225
Se: 0.6489 0.2500 0.7377
Se: 0.8961 0.2500 0.9252
Se: 0.3945 0.7500 0.8775
Se: 0.1039 0.7500 0.0748
Se: 0.3511 0.7500 0.2623
Se: 0.1055 0.2500 0.3775
Se: 0.1489 0.2500 0.7623
Ho: 0.9774 0.2500 0.1521
Ho: 0.4774 0.2500 0.3479
Ho: 0.5226 0.7500 0.6521
Ho: 0.0226 0.7500 0.8479


The following is a GGA-PBE calculation of crystalline NaHoCdSe3 at its relaxed geometry, from the Open Quantum Materials Database.

Its relative energy among the computed polymorphs is 0.42 kcal/mol of atoms. As for the space group: Cmcm.

Cell lengths 7.2097, 7.2097, 11.0408 Å; angles 90.00, 90.00, 33.35 degrees
Sites, in units of the cell vectors:
Se: 0.0885 0.0885 0.2500
Se: 0.6386 0.6386 0.9454
Se: 0.6386 0.6386 0.5546
Se: 0.9115 0.9115 0.7500
Se: 0.3614 0.3614 0.0546
Se: 0.3614 0.3614 0.4454
Na: 0.7565 0.7565 0.2500
Na: 0.2435 0.2435 0.7500
Cd: 0.4668 0.4668 0.2500
Cd: 0.5332 0.5332 0.7500
Ho: 0.0000 0.0000 0.5000
Ho: 0.0000 0.0000 0.0000


The following is a GGA-PBE calculation of crystalline NaHoCdSe3 at its relaxed geometry, from the Open Quantum Materials Database.

Its relative energy among the computed polymorphs is 0.53 kcal/mol of atoms. As for the space group: Pnma.

Cell lengths 12.6700, 4.1390, 12.2504 Å; angles 90.00, 90.00, 90.00 degrees
Sites, in units of the cell vectors:
Cd: 0.2343 0.2500 0.2846
Cd: 0.7343 0.2500 0.2154
Cd: 0.2657 0.7500 0.7846
Cd: 0.7657 0.7500 0.7154
Se: 0.0792 0.2500 0.4237
Se: 0.5792 0.2500 0.0763
Se: 0.5603 0.7500 0.6618
Se: 0.7304 0.7500 0.3552
Se: 0.4208 0.7500 0.9237
Se: 0.9208 0.7500 0.5763
Se: 0.2304 0.7500 0.1448
Se: 0.0603 0.7500 0.8382
Se: 0.4397 0.2500 0.3382
Se: 0.9397 0.2500 0.1618
Se: 0.2696 0.2500 0.6448
Se: 0.7696 0.2500 0.8552
Ho: 0.9514 0.7500 0.3327
Ho: 0.4514 0.7500 0.1673
Ho: 0.0486 0.2500 0.6673
Ho: 0.5486 0.2500 0.8327
Na: 0.6277 0.2500 0.4950
Na: 0.8723 0.7500 0.9950
Na: 0.1277 0.2500 0.0050
Na: 0.3723 0.7500 0.5050


The following is a GGA-PBE calculation of crystalline NaHoCdSe3 at its relaxed geometry, from the Open Quantum Materials Database.

Its relative energy among the computed polymorphs is 0.53 kcal/mol of atoms. As for the space group: Pnma.

Cell lengths 12.2524, 4.1410, 12.6521 Å; angles 90.00, 90.00, 90.00 degrees
Sites, in units of the cell vectors:
Cd: 0.2844 0.0000 0.2339
Cd: 0.7156 0.5000 0.7661
Cd: 0.2156 0.0000 0.7339
Cd: 0.7844 0.5000 0.2661
Na: 0.9951 0.5000 0.8731
Na: 0.5049 0.5000 0.3731
Na: 0.4951 0.0000 0.6269
Na: 0.0049 0.0000 0.1269
Ho: 0.6673 0.0000 0.0486
Ho: 0.3327 0.5000 0.9514
Ho: 0.1673 0.5000 0.4514
Ho: 0.8327 0.0000 0.5486
Se: 0.8551 0.0000 0.7700
Se: 0.6449 0.0000 0.2700
Se: 0.4239 0.0000 0.0789
Se: 0.0761 0.0000 0.5789
Se: 0.5761 0.5000 0.9211
Se: 0.3380 0.0000 0.4393
Se: 0.1620 0.0000 0.9393
Se: 0.8380 0.5000 0.0607
Se: 0.3551 0.5000 0.7300
Se: 0.1449 0.5000 0.2300
Se: 0.6620 0.5000 0.5607
Se: 0.9239 0.5000 0.4211


The following is a GGA-PBE calculation of crystalline NaHoCdSe3 at its relaxed geometry, from the Open Quantum Materials Database.

Its relative energy among the computed polymorphs is 0.00 kcal/mol of atoms. As for the space group: P2_1/m.

Cell lengths 8.1687, 4.1827, 10.2215 Å; angles 90.00, 105.34, 90.00 degrees
Sites, in units of the cell vectors:
Se: 0.2442 0.2500 0.9477
Se: 0.5780 0.2500 0.3638
Se: 0.7558 0.7500 0.0523
Se: 0.9414 0.7500 0.6465
Se: 0.0586 0.2500 0.3535
Se: 0.4220 0.7500 0.6362
Ho: 0.8232 0.7500 0.3600
Ho: 0.1768 0.2500 0.6400
Na: 0.2924 0.7500 0.2975
Na: 0.7076 0.2500 0.7025
Cd: 0.4194 0.7500 0.8924
Cd: 0.5806 0.2500 0.1076


The following is a GGA-PBE calculation of crystalline NaHoCdSe3 at its relaxed geometry, from the Open Quantum Materials Database.

Its relative energy among the computed polymorphs is 1.44 kcal/mol of atoms. As for the space group: Pnma.

Cell lengths 8.0421, 4.2431, 17.3651 Å; angles 90.00, 90.00, 90.00 degrees
Sites, in units of the cell vectors:
Ho: 0.2308 0.2500 0.9623
Ho: 0.2692 0.7500 0.4623
Ho: 0.7692 0.7500 0.0377
Ho: 0.7308 0.2500 0.5377
Se: 0.1248 0.7500 0.0632
Se: 0.8752 0.2500 0.9368
Se: 0.3752 0.2500 0.5632
Se: 0.6248 0.7500 0.4368
Se: 0.4891 0.7500 0.9252
Se: 0.0109 0.2500 0.4252
Se: 0.5109 0.2500 0.0748
Se: 0.2705 0.7500 0.2939
Se: 0.2295 0.2500 0.7939
Se: 0.7705 0.7500 0.2061
Se: 0.9891 0.7500 0.5748
Se: 0.7295 0.2500 0.7061
Na: 0.5574 0.2500 0.3039
Na: 0.9426 0.7500 0.8039
Na: 0.4426 0.7500 0.6961
Na: 0.0574 0.2500 0.1961
Cd: 0.4249 0.7500 0.1623
Cd: 0.0751 0.2500 0.6623
Cd: 0.9249 0.7500 0.3377
Cd: 0.5751 0.2500 0.8377


The following is a GGA-PBE calculation of crystalline NaHoCdSe3 at its relaxed geometry, from the Open Quantum Materials Database.

Its relative energy among the computed polymorphs is 0.79 kcal/mol of atoms. As for the space group: C2/m.

Cell lengths 9.0325, 9.0325, 9.0869 Å; angles 104.93, 104.93, 26.25 degrees
Sites, in units of the cell vectors:
Na: 0.1323 0.1323 0.0735
Na: 0.8677 0.8677 0.9265
Cd: 0.4846 0.4846 0.2791
Cd: 0.5154 0.5154 0.7209
Se: 0.5000 0.5000 0.0000
Se: 0.0000 0.0000 0.5000
Se: 0.6764 0.6764 0.8123
Se: 0.3386 0.3386 0.6304
Se: 0.6614 0.6614 0.3696
Se: 0.3236 0.3236 0.1877
Ho: 0.1768 0.1768 0.5979
Ho: 0.8232 0.8232 0.4021


The following is a GGA-PBE calculation of crystalline HoNbCd at its relaxed geometry, from the Open Quantum Materials Database.

Its relative energy among the computed polymorphs is 0.00 kcal/mol of atoms. As for the formation energy: 0.8575 eV per atom. As for the space group: F-43m.

Cell lengths 4.8478, 4.8478, 4.8478 Å; angles 60.00, 60.00, 60.00 degrees
Sites, in units of the cell vectors:
Cd: 0.2500 0.2500 0.2500
Nb: 0.0000 0.0000 0.0000
Ho: 0.7500 0.7500 0.7500


The following is a GGA-PBE calculation of crystalline HoNbCd at its relaxed geometry, from the Open Quantum Materials Database.

Its relative energy among the computed polymorphs is 4.59 kcal/mol of atoms. As for the formation energy: 1.0564 eV per atom. As for the space group: F-43m.

Cell lengths 4.8891, 4.8891, 4.8891 Å; angles 60.00, 60.00, 60.00 degrees
Sites, in units of the cell vectors:
Ho: 0.2500 0.2500 0.2500
Nb: 0.0000 0.0000 0.0000
Cd: 0.5000 0.5000 0.5000


Computed values of theoretical density (unit: kg/m3) for the preceding records, in sequence: 4178; 4197; 5637; 5469; 5655; 5554; 5559; 5297; 6022; 5643; 7632; 7440.